# 1
Computed, not measured: a relaxed Dy3YCu2 crystal at the PBE-GGA level of DFT.

The calculation puts the energy above the most stable polymorph in this dataset at 184.1 meV/atom. Its energy relative to the elements is 17 meV/atom.

The structure belongs to space group Ibam (No. 72); the cell edges are 6.796, 13.411 and 7.173 Å and the angles 90.00°, 90.00° and 90.00°. Symmetry generates all atoms from Dy at (0.000, 0.000, 0.250), Dy at (0.000, 0.265, 0.250), Y at (0.000, 0.500, 0.000) and Cu at (0.207, 0.142, 0.000).



# 2
Computed, not measured: a relaxed Dy3YCu2 crystal at the PBE-GGA level of DFT.

The calculation puts the energy above the most stable polymorph in this dataset at 0.0 meV/atom. Its energy relative to the elements is -167 meV/atom.

The structure belongs to space group Pmc2_1 (No. 26); the cell edges are 4.905, 8.710 and 6.902 Å and the angles 90.00°, 90.00° and 90.00°. Symmetry generates all atoms from Dy at (0.000, 0.077, 0.000), Dy at (0.000, 0.333, 0.371), Dy at (0.500, 0.164, 0.658), Y at (0.500, 0.425, 0.029), Cu at (0.000, 0.350, 0.773) and Cu at (0.500, 0.151, 0.256).



# 3
Computed, not measured: a relaxed Dy5YCu6 crystal at the PBE-GGA level of DFT.

Its energy relative to the elements is -253 meV/atom.

The structure belongs to space group Cmmm (No. 65); the cell edges are 4.927, 14.784 and 6.883 Å and the angles 90.00°, 90.00° and 90.00°. Symmetry generates all atoms from Dy at (0.000, 0.000, 0.000), Dy at (0.000, 0.333, 0.500), Dy at (0.000, 0.334, 0.000), Y at (0.000, 0.000, 0.500), Cu at (0.000, 0.168, 0.249) and Cu at (0.000, 0.500, 0.248).



Question: Which value of energy relative to the elements does entry 1 give?
Answer: 17 meV/atom



Question: Number 1 is which compound?
Answer: Dy3YCu2



Copy entry 3 word for word.
Computed, not measured: a relaxed Dy5YCu6 crystal at the PBE-GGA level of DFT.

Its energy relative to the elements is -253 meV/atom.

The structure belongs to space group Cmmm (No. 65); the cell edges are 4.927, 14.784 and 6.883 Å and the angles 90.00°, 90.00° and 90.00°. Symmetry generates all atoms from Dy at (0.000, 0.000, 0.000), Dy at (0.000, 0.333, 0.500), Dy at (0.000, 0.334, 0.000), Y at (0.000, 0.000, 0.500), Cu at (0.000, 0.168, 0.249) and Cu at (0.000, 0.500, 0.248).



Question: Number 1 is which compound?
Answer: Dy3YCu2